An optimized crystal structure of Pr6Nd5Th, computed with GGA-PBE.

Summary:
* final energy: -4.9662 eV per atom
* V: 35.57 Å³/atom
* energy of formation from the pure elements: 0.03 eV per atom
* calculated density: 6998 kg/m³

a = 6.3812 Å, b = 7.3888 Å, c = 11.6462 Å
α = 108.46°, β = 122.92°, γ = 90.04°
Atoms (fractional coordinates):
Pr: 0.8369 0.5897 0.6718
Pr: 0.8363 0.0822 0.6716
Pr: 0.5004 0.7570 0.0003
Pr: 0.4996 0.2430 0.9997
Pr: 0.1637 0.9178 0.3284
Pr: 0.1631 0.4103 0.3282
Nd: 0.6582 0.1657 0.3312
Nd: 0.3332 0.3330 0.6659
Nd: 0.0000 0.5000 0.0000
Nd: 0.6668 0.6670 0.3341
Nd: 0.3418 0.8343 0.6688
Th: 0.0000 0.0000 0.0000

---

An optimized crystal structure of Pr5Nd3Th2, computed with GGA-PBE.

Summary:
* final energy: -5.0985 eV per atom
* V: 35.32 Å³/atom
* energy of formation from the pure elements: 0.21 eV per atom
* calculated density: 7529 kg/m³

a = 10.2659 Å, b = 10.2588 Å, c = 11.2645 Å
α = 129.49°, β = 129.50°, γ = 66.66°
Atoms (fractional coordinates):
Pr: 0.2759 0.5259 0.0519
Pr: 0.7241 0.4741 0.9481
Pr: 0.0256 0.7756 0.5511
Pr: 0.5125 0.2625 0.5250
Pr: 0.9744 0.2244 0.4489
Pr: 0.4875 0.7375 0.4750
Pr: 0.8749 0.6257 0.7511
Pr: 0.1251 0.3743 0.2489
Pr: 0.3762 0.1254 0.7511
Pr: 0.6238 0.8746 0.2489
Nd: 0.2368 0.9868 0.9736
Nd: 0.7632 0.0132 0.0264
Nd: 0.7250 0.4738 0.2500
Nd: 0.2750 0.5262 0.7500
Nd: 0.0250 0.7761 0.2500
Nd: 0.9750 0.2239 0.7500
Th: 0.7818 0.0300 0.7511
Th: 0.2182 0.9700 0.2489
Th: 0.4693 0.7210 0.7511
Th: 0.5307 0.2790 0.2489

---

An optimized crystal structure of Pr5Nd6Th2, computed with GGA-PBE.

Summary:
* final energy: -5.0685 eV per atom
* V: 35.80 Å³/atom
* energy of formation from the pure elements: 0.11 eV per atom
* calculated density: 7259 kg/m³

a = 3.6705 Å, b = 11.8200 Å, c = 21.4512 Å
α = 90.00°, β = 90.00°, γ = 90.00°
Atoms (fractional coordinates):
Pr: 0.5000 0.3098 0.4185
Pr: 0.5000 0.6902 0.5815
Pr: 0.5000 0.8098 0.0815
Pr: 0.5000 0.1902 0.9185
Pr: 0.5000 0.5593 0.2936
Pr: 0.5000 0.4407 0.7064
Pr: 0.5000 0.0593 0.2064
Pr: 0.5000 0.9407 0.7936
Pr: 0.5000 0.5000 0.0000
Pr: 0.5000 0.0000 0.5000
Nd: 0.0000 0.0645 0.3529
Nd: 0.0000 0.9355 0.6471
Nd: 0.0000 0.5645 0.1471
Nd: 0.0000 0.4355 0.8529
Nd: 0.5000 0.3145 0.1252
Nd: 0.5000 0.6855 0.8748
Nd: 0.5000 0.8145 0.3748
Nd: 0.5000 0.1855 0.6252
Nd: 0.0000 0.5816 0.4378
Nd: 0.0000 0.4184 0.5622
Nd: 0.0000 0.0816 0.0622
Nd: 0.0000 0.9184 0.9378
Th: 0.0000 0.3060 0.2656
Th: 0.0000 0.6940 0.7344
Th: 0.0000 0.8060 0.2344
Th: 0.0000 0.1940 0.7656

---

An optimized crystal structure of Pr8NdTh2, computed with GGA-PBE.

Summary:
* final energy: -5.1075 eV per atom
* V: 35.95 Å³/atom
* energy of formation from the pure elements: 0.15 eV per atom
* calculated density: 7287 kg/m³

a = 5.7913 Å, b = 8.3993 Å, c = 9.5978 Å
α = 115.95°, β = 107.56°, γ = 90.00°
Atoms (fractional coordinates):
Pr: 0.6389 0.8440 0.2777
Pr: 0.3612 0.5662 0.7224
Pr: 0.1607 0.1607 0.3213
Pr: 0.0000 0.2965 0.0000
Pr: 0.8393 0.8393 0.6787
Pr: 0.6388 0.4338 0.2776
Pr: 0.3611 0.1560 0.7223
Pr: 0.0000 0.7035 0.0000
Nd: 0.5000 0.0000 0.0000
Th: 0.1999 0.6998 0.3997
Th: 0.8001 0.3002 0.6003

---

An optimized crystal structure of Pr12Nd5Th2, computed with GGA-PBE.

Summary:
* final energy: -4.9079 eV per atom
* V: 36.25 Å³/atom
* energy of formation from the pure elements: 0.15 eV per atom
* calculated density: 6934 kg/m³
* energy above the lowest structure with this stoichiometry: 29 meV per atom

a = 7.1922 Å, b = 8.9066 Å, c = 12.0344 Å
α = 109.59°, β = 107.39°, γ = 90.00°
Atoms (fractional coordinates):
Pr: 0.8651 0.9601 0.7301
Pr: 0.4553 0.7935 0.4041
Pr: 0.9488 0.7935 0.4041
Pr: 0.3605 0.3850 0.2127
Pr: 0.8522 0.3850 0.2127
Pr: 0.5464 0.7035 0.0928
Pr: 0.4536 0.2965 0.9072
Pr: 0.6395 0.6150 0.7873
Pr: 0.1478 0.6150 0.7873
Pr: 0.5447 0.2065 0.5959
Pr: 0.0512 0.2065 0.5959
Pr: 0.1349 0.0399 0.2699
Nd: 0.7515 0.5091 0.5029
Nd: 0.6488 0.0962 0.2976
Nd: 0.0000 0.5000 0.0000
Nd: 0.3512 0.9038 0.7024
Nd: 0.2485 0.4909 0.4971
Th: 0.7487 0.0000 0.0000
Th: 0.2513 0.0000 0.0000

---

An optimized crystal structure of Pr7Nd2Th2, computed with GGA-PBE.

Summary:
* final energy: -5.1073 eV per atom
* V: 35.72 Å³/atom
* energy of formation from the pure elements: 0.15 eV per atom
* calculated density: 7349 kg/m³

a = 10.9887 Å, b = 3.6805 Å, c = 10.9887 Å
α = 76.97°, β = 113.34°, γ = 103.03°
Atoms (fractional coordinates):
Pr: 0.4096 0.1740 0.0820
Pr: 0.0820 0.8260 0.4096
Pr: 0.5904 0.8260 0.9180
Pr: 0.9180 0.1740 0.5904
Pr: 0.5960 0.4304 0.4040
Pr: 0.0000 0.0000 0.0000
Pr: 0.4040 0.5696 0.5960
Nd: 0.2071 0.7651 0.7929
Nd: 0.7929 0.2349 0.2071
Th: 0.7450 0.5000 0.7450
Th: 0.2550 0.5000 0.2550

---

An optimized crystal structure of Pr4Nd3Th2, computed with GGA-PBE.

Summary:
* final energy: -5.2677 eV per atom
* V: 35.22 Å³/atom
* energy of formation from the pure elements: 0.09 eV per atom
* calculated density: 7650 kg/m³
* energy above the lowest structure with this stoichiometry: 0 meV per atom

a = 3.6332 Å, b = 3.6332 Å, c = 27.7313 Å
α = 90.00°, β = 90.00°, γ = 120.00°
Atoms (fractional coordinates):
Pr: 0.0000 0.0000 0.5443
Pr: 0.6667 0.3333 0.4327
Pr: 0.6667 0.3333 0.2128
Pr: 0.0000 0.0000 0.7663
Nd: 0.0000 0.0000 0.9823
Nd: 0.0000 0.0000 0.3206
Nd: 0.6667 0.3333 0.6543
Th: 0.6667 0.3333 0.0900
Th: 0.6667 0.3333 0.8739

---

An optimized crystal structure of PrNd4Th, computed with GGA-PBE.

Summary:
* final energy: -5.1744 eV per atom
* V: 34.94 Å³/atom
* energy of formation from the pure elements: 0.04 eV per atom
* calculated density: 7525 kg/m³
* energy above the lowest structure with this stoichiometry: 0 meV per atom

a = 3.6612 Å, b = 12.1781 Å, c = 10.3997 Å
α = 115.29°, β = 90.00°, γ = 90.00°
Atoms (fractional coordinates):
Pr: 0.5000 0.5000 0.5000
Pr: 0.0000 0.0000 0.0000
Nd: 0.5000 0.1638 0.3392
Nd: 0.0000 0.3362 0.1608
Nd: 0.5000 0.8362 0.6608
Nd: 0.0000 0.6638 0.8392
Nd: 0.9998 0.6650 0.3258
Nd: 0.4998 0.8350 0.1742
Nd: 0.0002 0.3350 0.6742
Nd: 0.5002 0.1650 0.8258
Th: 0.0000 0.0000 0.5000
Th: 0.5000 0.5000 0.0000